1.
# PBE PrGa2Pd, relaxed
data_PrGa2Pd
_chemical_formula_sum 'Pr4 Ga8 Pd4'
_symmetry_space_group_name_H-M 'P n m a'
_symmetry_Int_Tables_number 62
_cell_length_a 8.390
_cell_length_b 6.780
_cell_length_c 5.737
_cell_angle_alpha 90.00
_cell_angle_beta 90.00
_cell_angle_gamma 90.00
loop_
_symmetry_equiv_pos_as_xyz
'x,y,z'
'-x,-y,-z'
'-x+1/2,-y,z+1/2'
'x+1/2,y,-z+1/2'
'x+1/2,-y+1/2,-z+1/2'
'-x+1/2,y+1/2,z+1/2'
'-x,y+1/2,-z'
'x,-y+1/2,z'
loop_
_atom_site_label
_atom_site_fract_x
_atom_site_fract_y
_atom_site_fract_z
_atom_site_occupancy
Pr1 0.042 0.250 0.131 1
Ga1 0.185 0.055 0.618 1
Pd1 0.094 0.750 0.361 1
# magnetization	0.0	μB/f.u.
# E	-75.3	eV for the cell shown
# formation energy from the elements	-0.701	eV per atom

2.
# PBE Pr2GaPd5, relaxed
data_Pr2GaPd5
_chemical_formula_sum 'Pr4 Ga2 Pd10'
_symmetry_space_group_name_H-M 'I 4 m m'
_symmetry_Int_Tables_number 107
_symmetry_space_group_name_Hall 'I 4 -2'
_cell_length_a 6.272
_cell_length_b 6.272
_cell_length_c 8.326
_cell_angle_alpha 90.00
_cell_angle_beta 90.00
_cell_angle_gamma 90.00
loop_
_atom_site_label
_atom_site_fract_x
_atom_site_fract_y
_atom_site_fract_z
_atom_site_occupancy
Pr1 0.000 0.500 0.000 1
Ga1 0.000 0.000 0.296 1
Pd1 0.000 0.000 0.990 1
Pd2 0.223 0.223 0.746 1
# magnetization	0.0	μB/f.u.
# E	-88.5	eV for the cell shown
# formation energy from the elements	-0.711	eV per atom

What is the formula in the first record?
PrGa2Pd

Which formula does entry 2 have?
Pr2GaPd5